# Na4Np3SbTe8 | the Alexandria database | PBE | optimized geometry
data_Na4Np3SbTe8
_space_group_name_H-M_alt 'P 1'
_space_group_IT_number 1
_cell_length_a 9.003
_cell_length_b 9.119
_cell_length_c 9.007
_cell_angle_alpha 119.63
_cell_angle_beta 119.99
_cell_angle_gamma 90.00
loop_
_space_group_symop_operation_xyz
'x,y,z'
loop_
_atom_site_label
_atom_site_type_symbol
_atom_site_fract_x
_atom_site_fract_y
_atom_site_fract_z
_atom_site_occupancy
Te1 Te 0.747 0.733 0.990 1
Te2 Te 0.253 0.267 0.010 1
Te3 Te 0.243 0.734 0.486 1
Te4 Te 0.757 0.266 0.514 1
Te5 Te 0.243 0.733 0.990 1
Te6 Te 0.745 0.734 0.489 1
Te7 Te 0.255 0.266 0.511 1
Te8 Te 0.757 0.267 0.010 1
Na1 Na 0.500 0.000 0.000 1
Na2 Na 0.000 0.000 0.000 1
Na3 Na 0.500 0.000 0.500 1
Na4 Na 0.000 0.000 0.500 1
Np1 Np 0.500 0.500 0.500 1
Np2 Np 0.000 0.500 0.500 1
Np3 Np 0.500 0.500 0.000 1
Sb1 Sb 0.000 0.500 0.000 1
# * final energy: -5.297 eV per atom
# * V: 32.9 Å³/atom
# * symmetry: R-3m, No. 166
# * density of states at the Fermi level: 26.19 states/eV/f.u.
# * spin magnetization: 12.00 μB per formula unit

# Na2NpSbTe4 | the Alexandria database | PBE | optimized geometry
data_Na2NpSbTe4
_space_group_name_H-M_alt 'P 1'
_space_group_IT_number 1
_cell_length_a 4.490
_cell_length_b 7.809
_cell_length_c 7.933
_cell_angle_alpha 109.12
_cell_angle_beta 90.00
_cell_angle_gamma 90.00
loop_
_space_group_symop_operation_xyz
'x,y,z'
loop_
_atom_site_label
_atom_site_type_symbol
_atom_site_fract_x
_atom_site_fract_y
_atom_site_fract_z
_atom_site_occupancy
Te1 Te 0.000 0.747 0.232 1
Te2 Te 0.000 0.253 0.768 1
Te3 Te 0.500 0.759 0.768 1
Te4 Te 0.500 0.241 0.232 1
Np1 Np 0.500 0.500 0.000 1
Na1 Na 0.000 0.500 0.500 1
Na2 Na 0.500 0.000 0.500 1
Sb1 Sb 0.000 0.000 0.000 1
# * final energy: -4.651 eV per atom
# * V: 32.9 Å³/atom
# * symmetry: P2/m, No. 10
# * density of states at the Fermi level: 8.56 states/eV/f.u.
# * spin magnetization: 3.99 μB per formula unit

# Na4NpSb3Te8 | the Alexandria database | PBE | optimized geometry
data_Na4NpSb3Te8
_space_group_name_H-M_alt 'P 1'
_space_group_IT_number 1
_cell_length_a 8.920
_cell_length_b 9.174
_cell_length_c 8.921
_cell_angle_alpha 119.12
_cell_angle_beta 120.00
_cell_angle_gamma 90.00
loop_
_space_group_symop_operation_xyz
'x,y,z'
loop_
_atom_site_label
_atom_site_type_symbol
_atom_site_fract_x
_atom_site_fract_y
_atom_site_fract_z
_atom_site_occupancy
Na1 Na 0.000 0.000 0.500 1
Na2 Na 0.500 0.000 0.500 1
Na3 Na 0.000 0.000 0.000 1
Na4 Na 0.500 0.000 0.000 1
Te1 Te 0.246 0.733 0.491 1
Te2 Te 0.246 0.733 0.987 1
Te3 Te 0.754 0.267 0.013 1
Te4 Te 0.258 0.267 0.013 1
Te5 Te 0.743 0.730 0.487 1
Te6 Te 0.742 0.733 0.987 1
Te7 Te 0.754 0.267 0.509 1
Te8 Te 0.257 0.270 0.513 1
Sb1 Sb 0.500 0.500 0.500 1
Sb2 Sb 0.500 0.500 0.000 1
Sb3 Sb 0.000 0.500 0.500 1
Np1 Np 0.000 0.500 0.000 1
# * final energy: -4.017 eV per atom
# * V: 32.7 Å³/atom
# * symmetry: R-3m, No. 166
# * density of states at the Fermi level: 5.19 states/eV/f.u.
# * spin magnetization: 3.97 μB per formula unit

# Na3NpSb2Te6 | the Alexandria database | PBE | optimized geometry
data_Na3NpSb2Te6
_space_group_name_H-M_alt 'P 1'
_space_group_IT_number 1
_cell_length_a 7.737
_cell_length_b 7.737
_cell_length_c 8.004
_cell_angle_alpha 99.24
_cell_angle_beta 99.24
_cell_angle_gamma 120.01
loop_
_space_group_symop_operation_xyz
'x,y,z'
loop_
_atom_site_label
_atom_site_type_symbol
_atom_site_fract_x
_atom_site_fract_y
_atom_site_fract_z
_atom_site_occupancy
Sb1 Sb 0.334 0.666 0.000 1
Sb2 Sb 0.666 0.334 0.000 1
Na1 Na 0.500 0.500 0.500 1
Na2 Na 0.170 0.830 0.500 1
Na3 Na 0.830 0.170 0.500 1
Te1 Te 0.923 0.585 0.768 1
Te2 Te 0.260 0.260 0.766 1
Te3 Te 0.077 0.415 0.232 1
Te4 Te 0.415 0.077 0.232 1
Te5 Te 0.585 0.923 0.768 1
Te6 Te 0.740 0.740 0.234 1
Np1 Np 0.000 0.000 0.000 1
# * final energy: -4.229 eV per atom
# * V: 32.7 Å³/atom
# * symmetry: C2/m, No. 12
# * density of states at the Fermi level: 4.81 states/eV/f.u.
# * spin magnetization: 4.00 μB per formula unit

# Na3Np2ScSe6 | the Alexandria database | PBE | optimized geometry
data_Na3Np2ScSe6
_space_group_name_H-M_alt 'P 1'
_space_group_IT_number 1
_cell_length_a 7.120
_cell_length_b 7.120
_cell_length_c 7.377
_cell_angle_alpha 99.27
_cell_angle_beta 99.27
_cell_angle_gamma 120.02
loop_
_space_group_symop_operation_xyz
'x,y,z'
loop_
_atom_site_label
_atom_site_type_symbol
_atom_site_fract_x
_atom_site_fract_y
_atom_site_fract_z
_atom_site_occupancy
Na1 Na 0.168 0.832 0.500 1
Na2 Na 0.500 0.500 0.500 1
Na3 Na 0.832 0.168 0.500 1
Se1 Se 0.603 0.924 0.772 1
Se2 Se 0.245 0.245 0.774 1
Se3 Se 0.076 0.397 0.228 1
Se4 Se 0.755 0.755 0.226 1
Se5 Se 0.924 0.603 0.772 1
Se6 Se 0.397 0.076 0.228 1
Np1 Np 0.333 0.667 0.000 1
Np2 Np 0.667 0.333 0.000 1
Sc1 Sc 0.000 0.000 0.000 1
# * final energy: -6.071 eV per atom
# * V: 25.5 Å³/atom
# * symmetry: C2/m, No. 12
# * density of states at the Fermi level: 22.17 states/eV/f.u.
# * spin magnetization: 8.00 μB per formula unit

# NaNp2Sc3Se6 | the Alexandria database | PBE | optimized geometry
data_NaNp2Sc3Se6
_space_group_name_H-M_alt 'P 1'
_space_group_IT_number 1
_cell_length_a 3.951
_cell_length_b 8.078
_cell_length_c 8.969
_cell_angle_alpha 103.87
_cell_angle_beta 102.73
_cell_angle_gamma 90.00
loop_
_space_group_symop_operation_xyz
'x,y,z'
loop_
_atom_site_label
_atom_site_type_symbol
_atom_site_fract_x
_atom_site_fract_y
_atom_site_fract_z
_atom_site_occupancy
Np1 Np 0.833 0.666 0.665 1
Np2 Np 0.167 0.334 0.335 1
Se1 Se 0.662 0.591 0.324 1
Se2 Se 0.338 0.409 0.676 1
Se3 Se 0.670 0.070 0.340 1
Se4 Se 0.004 0.739 0.008 1
Se5 Se 0.330 0.930 0.660 1
Se6 Se 0.996 0.261 0.992 1
Sc1 Sc 0.167 0.828 0.333 1
Sc2 Sc 0.500 0.500 0.000 1
Sc3 Sc 0.833 0.172 0.667 1
Na1 Na 0.500 0.000 0.000 1
# * final energy: -6.990 eV per atom
# * V: 22.6 Å³/atom
# * symmetry: C2/m, No. 12
# * density of states at the Fermi level: 24.11 states/eV/f.u.
# * spin magnetization: 9.13 μB per formula unit

The lowest spin magnetization belongs to which entry?
Na4NpSb3Te8